VASP calculation (PBE-GGA) on a geometry-optimized Na3Tb3PaTe8 structure.

Structure (CIF):
```
data_Na3Tb3PaTe8
_chemical_formula_sum 'Na3 Tb3 Pa1 Te8'
_cell_length_a 9.164
_cell_length_b 9.164
_cell_length_c 9.164
_cell_angle_alpha 57.84
_cell_angle_beta 57.84
_cell_angle_gamma 57.84
_space_group_name_H-M_alt 'P 1'
_space_group_IT_number 1
loop_
_space_group_symop_operation_xyz
'x,y,z'
loop_
_atom_site_label
_atom_site_type_symbol
_atom_site_fract_x
_atom_site_fract_y
_atom_site_fract_z
Na1 Na 0.000 0.500 0.500
Na2 Na 0.500 0.000 0.500
Na3 Na 0.500 0.500 0.000
Tb1 Tb 0.000 0.000 0.500
Tb2 Tb 0.000 0.500 0.000
Tb3 Tb 0.500 0.000 0.000
Pa1 Pa 0.500 0.500 0.500
Te1 Te 0.243 0.744 0.744
Te2 Te 0.244 0.244 0.244
Te3 Te 0.256 0.256 0.757
Te4 Te 0.256 0.757 0.256
Te5 Te 0.744 0.243 0.744
Te6 Te 0.744 0.744 0.243
Te7 Te 0.756 0.756 0.756
Te8 Te 0.757 0.256 0.256
```

For the density, the calculation gives 5771 kg/m³. The formation energy from raw total energies is -1.209 eV per atom. The density of states at the Fermi level comes out at 3.649 states/eV/cell.

VASP calculation (PBE-GGA) on a geometry-optimized LaTcAg2 structure.

Structure (CIF):
```
data_LaTcAg2
_chemical_formula_sum 'La2 Tc2 Ag4'
_cell_length_a 3.313
_cell_length_b 4.624
_cell_length_c 10.687
_cell_angle_alpha 90.00
_cell_angle_beta 90.00
_cell_angle_gamma 90.00
_space_group_name_H-M_alt 'P 1'
_space_group_IT_number 1
loop_
_space_group_symop_operation_xyz
'x,y,z'
loop_
_atom_site_label
_atom_site_type_symbol
_atom_site_fract_x
_atom_site_fract_y
_atom_site_fract_z
La1 La 0.000 0.000 0.000
La2 La 0.500 0.500 0.500
Tc1 Tc 0.000 0.000 0.500
Tc2 Tc 0.500 0.500 0.000
Ag1 Ag 0.000 0.500 0.224
Ag2 Ag 0.000 0.500 0.776
Ag3 Ag 0.500 0.000 0.276
Ag4 Ag 0.500 0.000 0.724
```

As for the formation energy: 0.213 eV/atom. As for the excess energy over the best structure of this formula in the dataset: 0 meV per atom. For the density, the calculation gives 9181 kg/m³. The density of states at the Fermi level comes out at 7.295 states/eV/cell.

VASP calculation (PBE-GGA) on a geometry-optimized Mg2IrPd structure.

Structure (CIF):
```
data_Mg2IrPd
_chemical_formula_sum 'Mg6 Ir3 Pd3'
_cell_length_a 2.906
_cell_length_b 2.906
_cell_length_c 27.814
_cell_angle_alpha 90.00
_cell_angle_beta 90.00
_cell_angle_gamma 120.00
_space_group_name_H-M_alt 'P 1'
_space_group_IT_number 1
loop_
_space_group_symop_operation_xyz
'x,y,z'
loop_
_atom_site_label
_atom_site_type_symbol
_atom_site_fract_x
_atom_site_fract_y
_atom_site_fract_z
Mg1 Mg 0.000 0.000 0.091
Mg2 Mg 0.000 0.000 0.909
Mg3 Mg 0.333 0.667 0.576
Mg4 Mg 0.333 0.667 0.758
Mg5 Mg 0.667 0.333 0.242
Mg6 Mg 0.667 0.333 0.424
Ir1 Ir 0.000 0.000 0.500
Ir2 Ir 0.333 0.667 0.167
Ir3 Ir 0.667 0.333 0.833
Pd1 Pd 0.000 0.000 0.000
Pd2 Pd 0.333 0.667 0.667
Pd3 Pd 0.667 0.333 0.333
```

As for the formation energy: -0.137 eV/atom. For the density, the calculation gives 8505 kg/m³. The density of states at the Fermi level comes out at 5.407 states/eV/cell.

VASP calculation (PBE-GGA) on a geometry-optimized Np3Sb4Pt3 structure.

Structure (CIF):
```
data_Np3Sb4Pt3
_chemical_formula_sum 'Np6 Sb8 Pt6'
_cell_length_a 8.450
_cell_length_b 8.450
_cell_length_c 8.450
_cell_angle_alpha 109.47
_cell_angle_beta 109.47
_cell_angle_gamma 109.47
_space_group_name_H-M_alt 'P 1'
_space_group_IT_number 1
loop_
_space_group_symop_operation_xyz
'x,y,z'
loop_
_atom_site_label
_atom_site_type_symbol
_atom_site_fract_x
_atom_site_fract_y
_atom_site_fract_z
Np1 Np 0.125 0.750 0.875
Np2 Np 0.250 0.625 0.375
Np3 Np 0.375 0.250 0.625
Np4 Np 0.625 0.375 0.250
Np5 Np 0.750 0.875 0.125
Np6 Np 0.875 0.125 0.750
Sb1 Sb 0.000 0.323 0.500
Sb2 Sb 0.000 0.823 0.500
Sb3 Sb 0.177 0.177 0.177
Sb4 Sb 0.323 0.500 0.000
Sb5 Sb 0.500 0.000 0.323
Sb6 Sb 0.500 0.000 0.823
Sb7 Sb 0.677 0.677 0.677
Sb8 Sb 0.823 0.500 0.000
Pt1 Pt 0.125 0.875 0.250
Pt2 Pt 0.250 0.125 0.875
Pt3 Pt 0.375 0.625 0.750
Pt4 Pt 0.625 0.750 0.375
Pt5 Pt 0.750 0.375 0.625
Pt6 Pt 0.875 0.250 0.125
```

For the density, the calculation gives 12752 kg/m³. The formation energy from raw total energies is -0.536 eV per atom. The density of states at the Fermi level comes out at 67.291 states/eV/cell.

VASP calculation (PBE-GGA) on a geometry-optimized Sm12Tm7Th structure.

Structure (CIF):
```
data_Sm12Tm7Th
_chemical_formula_sum 'Sm12 Tm7 Th1'
_cell_length_a 8.716
_cell_length_b 8.716
_cell_length_c 8.716
_cell_angle_alpha 89.50
_cell_angle_beta 89.50
_cell_angle_gamma 89.50
_space_group_name_H-M_alt 'P 1'
_space_group_IT_number 1
loop_
_space_group_symop_operation_xyz
'x,y,z'
loop_
_atom_site_label
_atom_site_type_symbol
_atom_site_fract_x
_atom_site_fract_y
_atom_site_fract_z
Sm1 Sm 0.001 0.121 0.646
Sm2 Sm 0.121 0.646 0.001
Sm3 Sm 0.223 0.764 0.631
Sm4 Sm 0.236 0.369 0.777
Sm5 Sm 0.354 0.999 0.879
Sm6 Sm 0.369 0.777 0.236
Sm7 Sm 0.631 0.223 0.764
Sm8 Sm 0.646 0.001 0.121
Sm9 Sm 0.764 0.631 0.223
Sm10 Sm 0.777 0.236 0.369
Sm11 Sm 0.879 0.354 0.999
Sm12 Sm 0.999 0.879 0.354
Tm1 Tm 0.000 0.000 0.000
Tm2 Tm 0.121 0.445 0.350
Tm3 Tm 0.350 0.121 0.445
Tm4 Tm 0.445 0.350 0.121
Tm5 Tm 0.555 0.650 0.879
Tm6 Tm 0.650 0.879 0.555
Tm7 Tm 0.879 0.555 0.650
Th1 Th 0.500 0.500 0.500
```

As for the formation energy: 0.234 eV/atom. As for the excess energy over the best structure of this formula in the dataset: 0 meV per atom. For the density, the calculation gives 8073 kg/m³. The density of states at the Fermi level comes out at 35.583 states/eV/cell.

VASP calculation (PBE-GGA) on a geometry-optimized LaPr7Tl3 structure.

Structure (CIF):
```
data_LaPr7Tl3
_chemical_formula_sum 'La1 Pr7 Tl3'
_cell_length_a 8.523
_cell_length_b 8.523
_cell_length_c 6.052
_cell_angle_alpha 110.36
_cell_angle_beta 110.36
_cell_angle_gamma 92.90
_space_group_name_H-M_alt 'P 1'
_space_group_IT_number 1
loop_
_space_group_symop_operation_xyz
'x,y,z'
loop_
_atom_site_label
_atom_site_type_symbol
_atom_site_fract_x
_atom_site_fract_y
_atom_site_fract_z
La1 La 0.000 0.000 0.000
Pr1 Pr 0.000 0.000 0.500
Pr2 Pr 0.108 0.527 0.815
Pr3 Pr 0.331 0.331 0.332
Pr4 Pr 0.473 0.892 0.185
Pr5 Pr 0.527 0.108 0.815
Pr6 Pr 0.669 0.669 0.668
Pr7 Pr 0.892 0.473 0.185
Tl1 Tl 0.264 0.736 0.500
Tl2 Tl 0.500 0.500 0.000
Tl3 Tl 0.736 0.264 0.500
```

As for the formation energy: -0.037 eV/atom. For the density, the calculation gives 7617 kg/m³. The density of states at the Fermi level comes out at 16.523 states/eV/cell.

VASP calculation (PBE-GGA) on a geometry-optimized Sc2IrI structure.

Structure (CIF):
```
data_Sc2IrI
_chemical_formula_sum 'Sc6 Ir3 I3'
_cell_length_a 3.353
_cell_length_b 3.353
_cell_length_c 28.822
_cell_angle_alpha 90.00
_cell_angle_beta 90.00
_cell_angle_gamma 120.00
_space_group_name_H-M_alt 'P 1'
_space_group_IT_number 1
loop_
_space_group_symop_operation_xyz
'x,y,z'
loop_
_atom_site_label
_atom_site_type_symbol
_atom_site_fract_x
_atom_site_fract_y
_atom_site_fract_z
Sc1 Sc 0.000 0.000 0.084
Sc2 Sc 0.000 0.000 0.916
Sc3 Sc 0.333 0.667 0.583
Sc4 Sc 0.333 0.667 0.751
Sc5 Sc 0.667 0.333 0.249
Sc6 Sc 0.667 0.333 0.417
Ir1 Ir 0.000 0.000 0.000
Ir2 Ir 0.333 0.667 0.667
Ir3 Ir 0.667 0.333 0.333
I1 I 0.000 0.000 0.500
I2 I 0.333 0.667 0.167
I3 I 0.667 0.333 0.833
```

As for the excess energy over the best structure of this formula in the dataset: 944 meV per atom. For the density, the calculation gives 7261 kg/m³. The formation energy from raw total energies is 0.227 eV per atom. The density of states at the Fermi level comes out at 10.965 states/eV/cell.

VASP calculation (PBE-GGA) on a geometry-optimized SmHoGe structure.

Structure (CIF):
```
data_SmHoGe
_chemical_formula_sum 'Sm1 Ho1 Ge1'
_cell_length_a 4.733
_cell_length_b 4.733
_cell_length_c 4.239
_cell_angle_alpha 90.00
_cell_angle_beta 90.00
_cell_angle_gamma 120.00
_space_group_name_H-M_alt 'P 1'
_space_group_IT_number 1
loop_
_space_group_symop_operation_xyz
'x,y,z'
loop_
_atom_site_label
_atom_site_type_symbol
_atom_site_fract_x
_atom_site_fract_y
_atom_site_fract_z
Sm1 Sm 0.000 0.000 0.000
Ho1 Ho 0.333 0.667 0.477
Ge1 Ge 0.667 0.333 0.635
```

As for the formation energy: -0.398 eV/atom. As for the excess energy over the best structure of this formula in the dataset: 206 meV per atom. For the density, the calculation gives 7834 kg/m³. The density of states at the Fermi level comes out at 1.876 states/eV/cell.

VASP calculation (PBE-GGA) on a geometry-optimized SrHfSCl2 structure.

Structure (CIF):
```
data_SrHfSCl2
_chemical_formula_sum 'Sr1 Hf1 S1 Cl2'
_cell_length_a 5.291
_cell_length_b 5.291
_cell_length_c 5.819
_cell_angle_alpha 90.00
_cell_angle_beta 90.00
_cell_angle_gamma 90.00
_space_group_name_H-M_alt 'P 1'
_space_group_IT_number 1
loop_
_space_group_symop_operation_xyz
'x,y,z'
loop_
_atom_site_label
_atom_site_type_symbol
_atom_site_fract_x
_atom_site_fract_y
_atom_site_fract_z
Sr1 Sr 0.000 0.000 0.000
Hf1 Hf 0.500 0.500 0.500
S1 S 0.000 0.000 0.500
Cl1 Cl 0.000 0.500 0.000
Cl2 Cl 0.500 0.000 0.000
```

As for the excess energy over the best structure of this formula in the dataset: 1040 meV per atom. For the density, the calculation gives 3763 kg/m³. The formation energy from raw total energies is -0.318 eV per atom. The density of states at the Fermi level comes out at 6.323 states/eV/cell.

VASP calculation (PBE-GGA) on a geometry-optimized CeNi5Bi structure.

Structure (CIF):
```
data_CeNi5Bi
_chemical_formula_sum 'Ce4 Ni20 Bi4'
_cell_length_a 8.183
_cell_length_b 4.976
_cell_length_c 10.474
_cell_angle_alpha 90.00
_cell_angle_beta 90.00
_cell_angle_gamma 90.00
_space_group_name_H-M_alt 'P 1'
_space_group_IT_number 1
loop_
_space_group_symop_operation_xyz
'x,y,z'
loop_
_atom_site_label
_atom_site_type_symbol
_atom_site_fract_x
_atom_site_fract_y
_atom_site_fract_z
Ce1 Ce 0.236 0.250 0.062
Ce2 Ce 0.264 0.750 0.562
Ce3 Ce 0.736 0.250 0.438
Ce4 Ce 0.764 0.750 0.938
Ni1 Ni 0.082 0.003 0.818
Ni2 Ni 0.082 0.497 0.818
Ni3 Ni 0.082 0.750 0.022
Ni4 Ni 0.083 0.250 0.612
Ni5 Ni 0.166 0.750 0.248
Ni6 Ni 0.334 0.250 0.748
Ni7 Ni 0.417 0.750 0.112
Ni8 Ni 0.418 0.250 0.522
Ni9 Ni 0.418 0.503 0.318
Ni10 Ni 0.418 0.997 0.318
Ni11 Ni 0.582 0.003 0.682
Ni12 Ni 0.582 0.497 0.682
Ni13 Ni 0.582 0.750 0.478
Ni14 Ni 0.583 0.250 0.888
Ni15 Ni 0.666 0.750 0.252
Ni16 Ni 0.834 0.250 0.752
Ni17 Ni 0.917 0.750 0.388
Ni18 Ni 0.918 0.250 0.978
Ni19 Ni 0.918 0.503 0.182
Ni20 Ni 0.918 0.997 0.182
Bi1 Bi 0.129 0.250 0.364
Bi2 Bi 0.371 0.750 0.864
Bi3 Bi 0.629 0.250 0.136
Bi4 Bi 0.871 0.750 0.636
```

As for the formation energy: -0.254 eV/atom. For the density, the calculation gives 10007 kg/m³. The density of states at the Fermi level comes out at 32.421 states/eV/cell.

VASP calculation (PBE-GGA) on a geometry-optimized CaTb2Tl3 structure.

Structure (CIF):
```
data_CaTb2Tl3
_chemical_formula_sum 'Ca1 Tb2 Tl3'
_cell_length_a 3.798
_cell_length_b 3.798
_cell_length_c 11.717
_cell_angle_alpha 90.00
_cell_angle_beta 90.00
_cell_angle_gamma 90.00
_space_group_name_H-M_alt 'P 1'
_space_group_IT_number 1
loop_
_space_group_symop_operation_xyz
'x,y,z'
loop_
_atom_site_label
_atom_site_type_symbol
_atom_site_fract_x
_atom_site_fract_y
_atom_site_fract_z
Ca1 Ca 0.000 0.000 0.000
Tb1 Tb 0.000 0.000 0.333
Tb2 Tb 0.000 0.000 0.667
Tl1 Tl 0.500 0.500 0.170
Tl2 Tl 0.500 0.500 0.500
Tl3 Tl 0.500 0.500 0.830
```

As for the formation energy: -0.381 eV/atom. For the density, the calculation gives 9539 kg/m³. The density of states at the Fermi level comes out at 3.552 states/eV/cell.

VASP calculation (PBE-GGA) on a geometry-optimized NaNpAgBr6 structure.

Structure (CIF):
```
data_NaNpAgBr6
_chemical_formula_sum 'Na2 Np2 Ag2 Br12'
_cell_length_a 7.241
_cell_length_b 7.241
_cell_length_c 12.833
_cell_angle_alpha 90.00
_cell_angle_beta 90.00
_cell_angle_gamma 120.00
_space_group_name_H-M_alt 'P 1'
_space_group_IT_number 1
loop_
_space_group_symop_operation_xyz
'x,y,z'
loop_
_atom_site_label
_atom_site_type_symbol
_atom_site_fract_x
_atom_site_fract_y
_atom_site_fract_z
Na1 Na 0.333 0.667 0.250
Na2 Na 0.667 0.333 0.750
Np1 Np 0.333 0.667 0.750
Np2 Np 0.667 0.333 0.250
Ag1 Ag 0.000 0.000 0.000
Ag2 Ag 0.000 0.000 0.500
Br1 Br 0.022 0.349 0.625
Br2 Br 0.022 0.673 0.875
Br3 Br 0.327 0.349 0.875
Br4 Br 0.327 0.978 0.625
Br5 Br 0.349 0.022 0.125
Br6 Br 0.349 0.327 0.375
Br7 Br 0.651 0.673 0.625
Br8 Br 0.651 0.978 0.875
Br9 Br 0.673 0.022 0.375
Br10 Br 0.673 0.651 0.125
Br11 Br 0.978 0.327 0.125
Br12 Br 0.978 0.651 0.375
```

For the density, the calculation gives 4828 kg/m³. The formation energy from raw total energies is -1.094 eV per atom. The density of states at the Fermi level comes out at 10.348 states/eV/cell.

Number 8 is which compound?
SmHoGe